(1)
A plane-wave DFT calculation with PBE was carried out for a relaxed structure of PmBiAu.

a b c (Å): 3.7411 3.7411 11.6683
angles (deg): 90.00 90.00 90.00
Space group I4mm (No. 107)
Unique sites:
Pm  0.0000  0.0000  0.0000 [2 per cell]
Bi  0.0000  0.0000  0.2962 [2 per cell]
Au  0.0000  0.0000  0.6328 [2 per cell]

Output
Magnetization ... 0.00 μB/atom
Calculated total energy ... -27.324 eV/cell
Fermi-level density of states ... 3.68 states/eV/cell

(2)
A plane-wave DFT calculation with PBE was carried out for a relaxed structure of Hf6Sb2S.

a b c (Å): 5.9507 6.9515 10.9748
angles (deg): 90.00 122.02 90.00
Space group P2_1/c (No. 14)
Unique sites:
Hf  0.0943  0.2096  0.4614 [4 per cell]
Hf  0.3116  0.6689  0.4669 [4 per cell]
Hf  0.3721  0.0172  0.2431 [4 per cell]
Sb  0.1495  0.1085  0.7392 [4 per cell]
S  0.5000  0.0000  0.5000 [2 per cell]

Output
Formation energy (no corrections) ... -0.553 eV per atom
Magnetization ... 0.00 μB/atom
Calculated total energy ... -154.133 eV/cell
Fermi-level density of states ... 8.65 states/eV/cell

(3)
A plane-wave DFT calculation with PBE was carried out for a relaxed structure of BaNiRu3.

a b c (Å): 4.6962 4.6962 4.6962
angles (deg): 90.00 90.00 90.00
Space group Pm-3m (No. 221)
Unique sites:
Ba  0.0000  0.0000  0.0000 [1 per cell]
Ni  0.5000  0.5000  0.5000 [1 per cell]
Ru  0.0000  0.5000  0.5000 [3 per cell]

Output
Magnetization ... 1.07 μB/atom
Calculated total energy ... -29.949 eV/cell
Fermi-level density of states ... 5.72 states/eV/cell

(4)
A plane-wave DFT calculation with PBE was carried out for a relaxed structure of Sn5BiPb8.

a b c (Å): 9.5591 9.5591 9.5937
angles (deg): 90.00 90.00 90.00
Space group I-4 (No. 82)
Unique sites:
Sn  0.0000  0.0000  0.0000 [2 per cell]
Sn  0.1279  0.7509  0.3794 [8 per cell]
Bi  0.0000  0.5000  0.7500 [2 per cell]
Pb  0.0810  0.6696  0.0515 [8 per cell]
Pb  0.0813  0.8336  0.7065 [8 per cell]

Output
Magnetization ... 0.00 μB/atom
Calculated total energy ... -104.888 eV/cell
Fermi-level density of states ... 13.45 states/eV/cell

(5)
A plane-wave DFT calculation with PBE was carried out for a relaxed structure of GaAgIrO4.

a b c (Å): 6.1484 6.4147 8.9004
angles (deg): 90.00 90.00 90.00
Space group Imma (No. 74)
Unique sites:
Ga  0.2500  0.2500  0.2500 [4 per cell]
Ag  0.0000  0.2500  0.6379 [4 per cell]
Ir  0.0000  0.0000  0.0000 [4 per cell]
O  0.0000  0.0444  0.2279 [8 per cell]
O  0.2079  0.2500  0.0205 [8 per cell]

Output
Formation energy (no corrections) ... -0.892 eV per atom
Magnetization ... 0.12 μB/atom
Calculated total energy ... -163.277 eV/cell
Fermi-level density of states ... 19.46 states/eV/cell

(6)
A plane-wave DFT calculation with PBE was carried out for a relaxed structure of LaTiAlV.

a b c (Å): 3.3063 4.5429 5.7407
angles (deg): 90.00 90.00 90.00
Space group Pmm2 (No. 25)
Unique sites:
La  0.0000  0.0000  0.0000 [1 per cell]
Ti  0.0000  0.5000  0.4392 [1 per cell]
Al  0.5000  0.0000  0.5203 [1 per cell]
V  0.5000  0.5000  0.7877 [1 per cell]

Output
Magnetization ... 0.48 μB/atom
Calculated total energy ... -25.002 eV/cell
Fermi-level density of states ... 4.64 states/eV/cell

(7)
A plane-wave DFT calculation with PBE was carried out for a relaxed structure of Tc5B3W.

a b c (Å): 9.1460 6.3359 8.9211
angles (deg): 90.00 117.55 90.00
Space group C2/m (No. 12)
Unique sites:
Tc  0.0000  0.1930  0.0000 [4 per cell]
Tc  0.0844  0.2708  0.4077 [8 per cell]
Tc  0.2227  0.5000  0.6990 [4 per cell]
Tc  0.2480  0.0000  0.9963 [4 per cell]
B  0.0000  0.0000  0.5000 [2 per cell]
B  0.0000  0.5000  0.0000 [2 per cell]
B  0.0078  0.0000  0.2203 [4 per cell]
B  0.0131  0.5000  0.8051 [4 per cell]
W  0.2364  0.0000  0.7112 [4 per cell]

Output
Magnetization ... 0.00 μB/atom
Calculated total energy ... -331.809 eV/cell
Fermi-level density of states ... 25.32 states/eV/cell

(8)
A plane-wave DFT calculation with PBE was carried out for a relaxed structure of YReHgO6.

a b c (Å): 5.6335 10.0434 5.2797
angles (deg): 90.00 105.90 90.00
Space group C2 (No. 5)
Unique sites:
Y  0.0000  0.0000  0.0000 [2 per cell]
Re  0.0000  0.6511  0.0000 [2 per cell]
Hg  0.0000  0.3092  0.5000 [2 per cell]
O  0.1743  0.8161  0.2097 [4 per cell]
O  0.2078  0.5377  0.2247 [4 per cell]
O  0.2247  0.6576  0.7998 [4 per cell]

Output
Formation energy (no corrections) ... -1.780 eV per atom
Magnetization ... 0.00 μB/atom
Calculated total energy ... -129.974 eV/cell
Fermi-level density of states ... 0.00 states/eV/cell